Record 1
Below is a relaxed structure of Sr3AcMg8, with properties calculated at the GGA-PBE level.

The calculation puts the total energy at -0.142 Ry/atom.

It has space group R3m (No. 160, hexagonal axes), with a = 6.4248 Å, b = 6.4248 Å, c = 31.3639 Å, α = 90.00°, β = 90.00° and γ = 120.00°. The asymmetric unit holds Sr at (0.0000, 0.0000, 0.0000), Sr at (0.0000, 0.0000, 0.1254), Sr at (0.0000, 0.0000, 0.5000), Ac at (0.0000, 0.0000, 0.6248), Mg at (0.0000, 0.0000, 0.3124), Mg at (0.0000, 0.0000, 0.8124), Mg at (0.1672, 0.3345, 0.3955) and Mg at (0.1670, 0.3340, 0.8966).

***

Record 2
Below is a relaxed structure of CaTbEr2Sb4, with properties calculated at the GGA-PBE level.

For the uncorrected formation energy, the calculation gives -1022.6 meV/atom.

It has space group P2/m (No. 10), with a = 7.6478 Å, b = 4.3719 Å, c = 7.6642 Å, α = 90.00°, β = 109.06° and γ = 90.00°. The asymmetric unit holds Ca at (0.0000, 0.0000, 0.0000), Tb at (0.5000, 0.5000, 0.0000), Er at (0.0000, 0.5000, 0.5000), Er at (0.5000, 0.0000, 0.5000), Sb at (0.2511, 0.0000, 0.7443) and Sb at (0.2567, 0.5000, 0.2592).

***

Record 3
Below is a relaxed structure of Sc2In2F, with properties calculated at the GGA-PBE level.

For the uncorrected formation energy, the calculation gives -1132.9 meV/atom.

It has space group P4/mbm (No. 127), with a = 6.2543 Å, b = 6.2543 Å, c = 5.2407 Å, α = 90.00°, β = 90.00° and γ = 90.00°. The asymmetric unit holds Sc at (0.1676, 0.3324, 0.0000), In at (0.1632, 0.6632, 0.5000) and F at (0.0000, 0.0000, 0.0000).

***

Record 4
Below is a relaxed structure of GeBiAs2, with properties calculated at the GGA-PBE level.

The energy above the most stable polymorph in this dataset comes out at 26.17 kJ/mol of atoms.

It has space group Fm-3m (No. 225), with a = 7.1310 Å, b = 7.1310 Å, c = 7.1310 Å, α = 90.00°, β = 90.00° and γ = 90.00°. The asymmetric unit holds Ge at (0.0000, 0.0000, 0.0000), Bi at (0.0000, 0.0000, 0.5000) and As at (0.2500, 0.2500, 0.2500).

***

Record 5
Below is a relaxed structure of EuZrNi2, with properties calculated at the GGA-PBE level.

The calculation puts the total energy at -0.577 Ry/atom.

It has space group P4/mmm (No. 123), with a = 3.3074 Å, b = 3.3074 Å, c = 7.0040 Å, α = 90.00°, β = 90.00° and γ = 90.00°. The asymmetric unit holds Eu at (0.0000, 0.0000, 0.0000), Zr at (0.0000, 0.0000, 0.5000) and Ni at (0.5000, 0.5000, 0.3072).

***

Record 6
Below is a relaxed structure of GePd5Se, with properties calculated at the GGA-PBE level.

For the uncorrected formation energy, the calculation gives -254.0 meV/atom.

It has space group C2/c (No. 15), with a = 7.7170 Å, b = 8.3450 Å, c = 7.4031 Å, α = 90.00°, β = 98.86° and γ = 90.00°. The asymmetric unit holds Ge at (0.0000, 0.0034, 0.2500), Pd at (0.0000, 0.2945, 0.2500), Pd at (0.1335, 0.2378, 0.6294), Pd at (0.1976, 0.0936, 0.0269) and Se at (0.0000, 0.5000, 0.0000).

***

| no. | calculated volume (Å³/atom) |
| --- | --- |
| 1 | 31.1 |
| 2 | 30.3 |
| 3 | 20.5 |
| 4 | 22.7 |
| 5 | 19.2 |
| 6 | 16.8 |